1.
First-principles (meta-GGA SCAN) data for ZrCr2Fe at its PBEsol-relaxed geometry, as listed in the Alexandria database.

Lattice parameters (Å, degrees): 2.913 2.913 6.367 90.00 90.00 90.00
Site moments in Bohr magnetons follow the coordinates.
Atoms (fractional coordinates):
Cr (0.000, 0.000, 0.809)  -2.14
Cr (0.000, 0.000, 0.191)  -2.14
Fe (0.500, 0.500, 0.000)  2.24
Zr (0.500, 0.500, 0.500)  0.29

The value obtained for the formation energy is 0.286 eV/atom. The space group is P4/mmm (123). Its density of states at the Fermi level is 2.969 states/eV/cell.


2.
First-principles (meta-GGA SCAN) data for TaCo2Pb at its PBEsol-relaxed geometry, as listed in the Alexandria database.

Lattice parameters (Å, degrees): 3.319 3.337 5.568 90.00 90.00 90.00
Atoms (fractional coordinates):
Pb (0.000, 0.000, 0.460)
Co (0.000, 0.000, 0.976)
Co (0.500, 0.500, 0.239)
Ta (0.500, 0.500, 0.824)

The value obtained for the formation energy is 0.488 eV/atom. The space group is Pmm2 (25). Its density of states at the Fermi level is 2.483 states/eV/cell.


3.
First-principles (meta-GGA SCAN) data for K4Cd3 at its PBEsol-relaxed geometry, as listed in the Alexandria database.

Lattice parameters (Å, degrees): 6.543 6.543 7.037 90.00 90.00 120.00
Atoms (fractional coordinates):
K (0.000, 0.000, 0.768)
K (0.000, 0.000, 0.232)
K (0.333, 0.667, 0.500)
K (0.667, 0.333, 0.500)
Cd (0.000, 0.500, 0.000)
Cd (0.500, 0.000, 0.000)
Cd (0.500, 0.500, 0.000)

The value obtained for the formation energy is 0.028 eV/atom. The space group is P6/mmm (191). Its density of states at the Fermi level is 3.705 states/eV/cell.


4.
First-principles (meta-GGA SCAN) data for AcCd3 at its PBEsol-relaxed geometry, as listed in the Alexandria database.

Lattice parameters (Å, degrees): 4.918 7.086 7.086 120.00 90.00 90.00
Atoms (fractional coordinates):
Ac (0.750, 0.333, 0.667)
Ac (0.250, 0.667, 0.333)
Cd (0.250, 0.706, 0.853)
Cd (0.250, 0.147, 0.294)
Cd (0.250, 0.147, 0.853)
Cd (0.750, 0.294, 0.147)
Cd (0.750, 0.853, 0.706)
Cd (0.750, 0.853, 0.147)

The value obtained for the formation energy is -0.332 eV/atom. The space group is P6_3/mmc (194). Its density of states at the Fermi level is 6.408 states/eV/cell.